Here is an optimized crystal structure of CsTl3Re from the Alexandria database. Energies are from PBE.

The structure in POSCAR format:
```
CsTl3Re
1.0
6.4462 0.0000 0.0000
0.0000 6.4462 0.0000
0.0000 0.0000 6.4462
Cs Tl Re
1 3 1
Cartesian
0.0000 0.0000 0.0000 Cs
0.0000 0.0000 3.2231 Tl
0.0000 3.2231 0.0000 Tl
3.2231 0.0000 0.0000 Tl
3.2231 3.2231 3.2231 Re
```

Output
Energy of formation from the pure elements   2118 meV per atom
Total energy   -9.81 eV for the cell shown

Here is an optimized crystal structure of Li2NdHoAu4 from the Alexandria database. Energies are from PBE.

The structure in POSCAR format:
```
Li2NdHoAu4
1.0
2.4930 1.4393 7.8169
-2.4930 1.4393 7.8169
0.0000 -2.8787 7.8169
Li Nd Ho Au
2 1 1 4
Cartesian
0.0000 0.0000 5.8624 Li
0.0000 0.0000 17.5884 Li
0.0000 0.0000 0.0000 Nd
0.0000 0.0000 11.7254 Ho
0.0000 0.0000 3.1028 Au
0.0000 0.0000 8.7754 Au
0.0000 0.0000 14.6754 Au
0.0000 0.0000 20.3479 Au
```

Output
Energy of formation from the pure elements   -687 meV per atom
Total energy   -31.78 eV for the cell shown

Here is an optimized crystal structure of Cs2CaTlSe from the Alexandria database. Energies are from PBE.

The structure in POSCAR format:
```
Cs2CaTlSe
1.0
7.3632 0.0000 0.0000
0.0000 7.3632 0.0000
0.0000 0.0000 5.7219
Cs Ca Tl Se
2 1 1 1
Cartesian
0.0000 3.6816 0.0000 Cs
3.6816 0.0000 0.0000 Cs
0.0000 0.0000 2.8609 Ca
3.6816 3.6816 0.0000 Tl
3.6816 3.6816 2.8609 Se
```

Output
Uncorrected formation energy   0.037 eV per atom
Total energy   -9.37 eV for the cell shown

Here is an optimized crystal structure of CdSiB3 from the Alexandria database. Energies are from PBE.

The structure in POSCAR format:
```
CdSiB3
1.0
4.3621 0.0000 0.0000
0.0000 4.3621 0.0000
0.0000 0.0000 4.3621
Cd Si B
1 1 3
Cartesian
0.0000 0.0000 0.0000 Cd
2.1811 2.1811 2.1811 Si
0.0000 0.0000 2.1811 B
0.0000 2.1811 0.0000 B
2.1811 0.0000 0.0000 B
```

Output
Uncorrected formation energy   2.486 eV per atom
Total energy   -13.94 eV for the cell shown

Here is an optimized crystal structure of CdMo2Se from the Alexandria database. Energies are from PBE.

The structure in POSCAR format:
```
CdMo2Se
1.0
4.0957 0.0000 0.0000
0.0000 4.0957 0.0000
0.0000 0.0000 8.2754
Cd Mo Se
2 4 2
Cartesian
0.0000 0.0000 0.0000 Cd
2.0479 2.0479 4.1377 Cd
0.0000 0.0000 4.1377 Mo
0.0000 2.0479 6.2065 Mo
2.0479 0.0000 2.0688 Mo
2.0479 2.0479 0.0000 Mo
0.0000 2.0479 2.0688 Se
2.0479 0.0000 6.2065 Se
```

Output
Uncorrected formation energy   0.659 eV per atom
Total energy   -46.85 eV for the cell shown

Here is an optimized crystal structure of Ta2NiPb from the Alexandria database. Energies are from PBE.

The structure in POSCAR format:
```
Ta2NiPb
1.0
3.8906 0.0000 0.0000
0.0000 3.8906 0.0000
0.0000 0.0000 20.4713
Ta Ni Pb
8 4 4
Cartesian
0.9603 0.9726 2.5589 Ta
0.9726 2.9055 7.6768 Ta
0.9726 2.9303 17.9124 Ta
0.9850 0.9726 12.7946 Ta
2.9055 2.9179 12.7946 Ta
2.9179 0.9603 17.9124 Ta
2.9179 0.9850 7.6768 Ta
2.9303 2.9179 2.5589 Ta
0.0000 0.0000 0.0000 Ni
0.0000 1.9453 5.1178 Ni
1.9453 0.0000 15.3535 Ni
1.9453 1.9453 10.2357 Ni
0.0000 0.0000 10.2357 Pb
0.0000 1.9453 15.3535 Pb
1.9453 0.0000 5.1178 Pb
1.9453 1.9453 0.0000 Pb
```

Output
Energy of formation from the pure elements   701 meV per atom
Total energy   -121.57 eV for the cell shown